The following is a DFT calculation (PBE-GGA) of an optimized crystal structure of Sm3Be2Si4.

Structure (CIF):
```
data_Sm3Be2Si4
_space_group_name_H-M_alt 'C 1 2/m 1'
_space_group_IT_number 12
_cell_length_a 10.821
_cell_length_b 3.981
_cell_length_c 8.273
_cell_angle_alpha 90.00
_cell_angle_beta 109.36
_cell_angle_gamma 90.00
loop_
_space_group_symop_operation_xyz
'x,y,z'
'-x,-y,-z'
'-x,y,-z'
'x,-y,z'
'x+1/2,y+1/2,z'
'-x+1/2,-y+1/2,-z'
'-x+1/2,y+1/2,-z'
'x+1/2,-y+1/2,z'
loop_
_atom_site_label
_atom_site_type_symbol
_atom_site_fract_x
_atom_site_fract_y
_atom_site_fract_z
Sm1 Sm 0.000 0.000 0.000
Sm2 Sm 0.118 0.500 0.686
Be1 Be 0.179 0.500 0.322
Si1 Si 0.118 0.000 0.401
Si2 Si 0.223 0.500 0.063
```

Size of the total moment (μB per formula unit): 0.0
DFT total energy (eV per atom): -5.370
Crystal system: monoclinic
DOS at the Fermi energy (states/eV per cell): 7.3